a:
A plane-wave DFT calculation with PBE-GGA was carried out for a relaxed structure of Ce2PrTl.

The structure in CIF format:
```
data_Ce2PrTl
_chemical_formula_sum 'Ce4 Pr2 Tl2'
_space_group_name_H-M_alt 'P 1 21/m 1'
_space_group_IT_number 11
_space_group_name_Hall '-P 2yb'
_cell_length_a 4.6945
_cell_length_b 4.3506
_cell_length_c 11.7609
_cell_angle_alpha 90.00
_cell_angle_beta 98.84
_cell_angle_gamma 90.00
loop_
_atom_site_label
_atom_site_type_symbol
_atom_site_fract_x
_atom_site_fract_y
_atom_site_fract_z
Ce1 Ce 0.0020 0.2500 0.3924
Ce2 Ce 0.3831 0.7500 0.3867
Pr1 Pr 0.2989 0.2500 0.1067
Tl1 Tl 0.1810 0.2500 0.8201
```

---

b:
A plane-wave DFT calculation with PBE-GGA was carried out for a relaxed structure of Ce2PrTl.

The structure in CIF format:
```
data_Ce2PrTl
_chemical_formula_sum 'Ce8 Pr4 Tl4'
_space_group_name_H-M_alt 'F m -3 m'
_space_group_IT_number 225
_space_group_name_Hall '-F 4 2 3'
_cell_length_a 7.8497
_cell_length_b 7.8497
_cell_length_c 7.8497
_cell_angle_alpha 90.00
_cell_angle_beta 90.00
_cell_angle_gamma 90.00
loop_
_atom_site_label
_atom_site_type_symbol
_atom_site_fract_x
_atom_site_fract_y
_atom_site_fract_z
Ce1 Ce 0.2500 0.2500 0.2500
Pr1 Pr 0.0000 0.0000 0.0000
Tl1 Tl 0.0000 0.0000 0.5000
```

---

c:
A plane-wave DFT calculation with PBE-GGA was carried out for a relaxed structure of Ce2PrTl.

The structure in CIF format:
```
data_Ce2PrTl
_chemical_formula_sum 'Ce2 Pr1 Tl1'
_space_group_name_H-M_alt 'P 4/m m m'
_space_group_IT_number 123
_space_group_name_Hall '-P 4 2'
_cell_length_a 4.2383
_cell_length_b 4.2383
_cell_length_c 6.9389
_cell_angle_alpha 90.00
_cell_angle_beta 90.00
_cell_angle_gamma 90.00
loop_
_atom_site_label
_atom_site_type_symbol
_atom_site_fract_x
_atom_site_fract_y
_atom_site_fract_z
Ce1 Ce 0.0000 0.0000 0.2056
Pr1 Pr 0.5000 0.5000 0.5000
Tl1 Tl 0.5000 0.5000 0.0000
```

---

Which is most stable? The ranking, best first, is a, c, b.